# 1
Entry from Alexandria via LeMat-Bulk: an optimized crystal structure of Li3Ni2P2O8F2 (PBEsol).

abc: 6.143 10.439 12.239
angles: 90.00 119.34 90.00
Sites, in units of the cell vectors:
Li 0.031 0.050 0.271
Li 0.031 0.450 0.771
Li 0.175 0.737 0.169
Li 0.175 0.763 0.669
Li 0.326 0.225 0.083
Li 0.326 0.275 0.583
Li 0.674 0.725 0.417
Li 0.674 0.775 0.917
Li 0.825 0.237 0.331
Li 0.825 0.263 0.831
Li 0.969 0.550 0.229
Li 0.969 0.950 0.729
Ni 0.000 0.000 0.000
Ni 0.000 0.000 0.500
Ni 0.000 0.500 0.000
Ni 0.000 0.500 0.500
Ni 0.500 0.000 0.000
Ni 0.500 0.000 0.500
Ni 0.500 0.500 0.000
Ni 0.500 0.500 0.500
P 0.189 0.739 0.427
P 0.189 0.761 0.927
P 0.489 0.038 0.740
P 0.489 0.462 0.240
P 0.511 0.538 0.760
P 0.511 0.962 0.260
P 0.811 0.239 0.073
P 0.811 0.261 0.573
O 0.039 0.684 0.490
O 0.039 0.816 0.990
O 0.054 0.724 0.286
O 0.054 0.776 0.786
O 0.222 0.521 0.179
O 0.222 0.979 0.679
O 0.228 0.616 0.970
O 0.228 0.884 0.470
O 0.371 0.020 0.325
O 0.371 0.480 0.825
O 0.372 0.020 0.122
O 0.372 0.480 0.622
O 0.455 0.679 0.489
O 0.455 0.821 0.989
O 0.496 0.183 0.740
O 0.496 0.317 0.240
O 0.504 0.683 0.760
O 0.504 0.817 0.260
O 0.545 0.179 0.011
O 0.545 0.321 0.511
O 0.628 0.520 0.378
O 0.628 0.980 0.878
O 0.629 0.520 0.175
O 0.629 0.980 0.675
O 0.772 0.116 0.530
O 0.772 0.384 0.030
O 0.778 0.021 0.321
O 0.778 0.479 0.821
O 0.946 0.224 0.214
O 0.946 0.276 0.714
O 0.961 0.184 0.010
O 0.961 0.316 0.510
F 0.134 0.034 0.885
F 0.134 0.466 0.385
F 0.220 0.123 0.476
F 0.220 0.377 0.976
F 0.780 0.623 0.024
F 0.780 0.877 0.524
F 0.866 0.534 0.615
F 0.866 0.966 0.115


# 2
Entry from Alexandria via LeMat-Bulk: an optimized crystal structure of LiNiSO4F (PBEsol).

abc: 5.099 5.339 7.092
angles: 106.94 107.75 99.12
Sites, in units of the cell vectors:
Li 0.218 0.353 0.204
Li 0.782 0.647 0.796
Ni 0.500 0.000 0.000
Ni 0.500 0.000 0.500
S 0.177 0.352 0.745
S 0.823 0.648 0.255
O 0.104 0.769 0.430
O 0.185 0.640 0.856
O 0.217 0.211 0.900
O 0.411 0.348 0.660
O 0.589 0.652 0.340
O 0.783 0.789 0.100
O 0.815 0.360 0.144
O 0.896 0.231 0.570
F 0.372 0.078 0.240
F 0.628 0.922 0.760


# 3
Entry from Alexandria via LeMat-Bulk: an optimized crystal structure of Rb2LiNiF6 (PBEsol).

abc: 5.707 5.707 5.707
angles: 60.00 60.00 60.00
Sites, in units of the cell vectors:
Rb 0.250 0.250 0.250
Rb 0.750 0.750 0.750
Li 0.000 0.000 0.000
Ni 0.500 0.500 0.500
F 0.265 0.265 0.735
F 0.265 0.735 0.265
F 0.265 0.735 0.735
F 0.735 0.265 0.265
F 0.735 0.265 0.735
F 0.735 0.735 0.265


# 4
Entry from Alexandria via LeMat-Bulk: an optimized crystal structure of LiRe2NiF (PBEsol).

abc: 3.965 3.965 4.358
angles: 90.00 90.00 90.00
Sites, in units of the cell vectors:
Li 0.000 0.000 0.000
Re 0.000 0.500 0.500
Re 0.500 0.000 0.500
Ni 0.500 0.500 0.000
F 0.500 0.500 0.500


# 5
Entry from Alexandria via LeMat-Bulk: an optimized crystal structure of LiNiRhF6 (PBEsol).

abc: 4.611 4.611 9.158
angles: 90.00 90.00 90.00
Sites, in units of the cell vectors:
Li 0.000 0.000 0.000
Li 0.500 0.500 0.500
Ni 0.000 0.000 0.670
Ni 0.500 0.500 0.170
Rh 0.000 0.000 0.333
Rh 0.500 0.500 0.833
F 0.194 0.194 0.500
F 0.197 0.197 0.168
F 0.197 0.197 0.835
F 0.303 0.697 0.335
F 0.303 0.697 0.668
F 0.306 0.694 0.000
F 0.694 0.306 0.000
F 0.697 0.303 0.335
F 0.697 0.303 0.668
F 0.803 0.803 0.168
F 0.803 0.803 0.835
F 0.806 0.806 0.500


# 6
Entry from Alexandria via LeMat-Bulk: an optimized crystal structure of SrLiNiF6 (PBEsol).

abc: 5.097 5.097 10.323
angles: 90.00 90.00 120.00
Sites, in units of the cell vectors:
Sr 0.000 0.000 0.000
Sr 0.000 0.000 0.500
Li 0.333 0.667 0.250
Li 0.667 0.333 0.750
Ni 0.333 0.667 0.750
Ni 0.667 0.333 0.250
F 0.020 0.379 0.854
F 0.020 0.641 0.646
F 0.359 0.379 0.646
F 0.359 0.980 0.854
F 0.379 0.020 0.354
F 0.379 0.359 0.146
F 0.621 0.641 0.854
F 0.621 0.980 0.646
F 0.641 0.020 0.146
F 0.641 0.621 0.354
F 0.980 0.359 0.354
F 0.980 0.621 0.146


# 7
Entry from Alexandria via LeMat-Bulk: an optimized crystal structure of Li3OF (PBEsol).

abc: 3.644 3.644 3.644
angles: 90.00 90.00 90.00
Sites, in units of the cell vectors:
Li 0.000 0.000 0.500
Li 0.000 0.500 0.000
Li 0.500 0.000 0.000
O 0.000 0.000 0.000
F 0.500 0.500 0.500


# 8
Entry from Alexandria via LeMat-Bulk: an optimized crystal structure of LiPO2F (PBEsol).

abc: 4.370 4.370 3.425
angles: 90.00 90.00 90.00
Sites, in units of the cell vectors:
Li 0.000 0.000 0.000
P 0.500 0.500 0.000
O 0.000 0.500 0.500
O 0.500 0.000 0.500
F 0.500 0.500 0.500


no.,formation energy (no corrections) (eV per atom),raw total energy (eV per atom)
1,-1.998,-6.4476
2,-1.578,-6.0071
3,-2.404,-4.5782
4,1.192,-6.1510
5,-1.904,-4.9960
6,-2.693,-5.0855
7,-2.111,-4.7267
8,0.356,-3.6805